Crystalline Th3ReAu at its relaxed geometry. Source: the Alexandria database, functional GGA-PBE.

Values from the calculation:
Spin magnetization = 0.0000 μB per atom
DFT formation energy = -0.177 eV per atom
Density of states at the Fermi level = 0.98 states/eV/atom

Lattice parameters (Å, degrees): 9.2029 9.2029 8.0590 111.03 111.03 25.63
Last column: nearest neighbours and their distance in Å.
Fractional positions:
Th: 0.0000 0.0000 0.0000  2 Re 2.84, 2 Au 3.17
Th: 0.0213 0.0213 0.5115  3 Re 3.05-3.16, 3 Au 3.18-3.36
Th: 0.1841 0.1841 0.3736  3 Re 3.01-3.15, 2 Au 3.19
Th: 0.3638 0.3638 0.1407  2 Au 3.05, 2 Re 3.15-3.28
Th: 0.6570 0.6570 0.9641  2 Re 2.82
Th: 0.8014 0.8014 0.7415  2 Re 2.80, 1 Au 3.12
Re: 0.2018 0.2018 0.7773  4 Th 2.80-2.82
Re: 0.5516 0.5516 0.2624  7 Th 2.84-3.15
Au: 0.4324 0.4324 0.6780  6 Th 3.17-3.29, 2 Au 3.26
Au: 0.8204 0.8204 0.3714  6 Th 3.05-3.36, 2 Au 3.26

Crystalline MgCuBr3 at its relaxed geometry. Source: the Alexandria database, functional GGA-PBE.

Values from the calculation:
Spin magnetization = 0.0000 μB per atom
Energy relative to the lowest polymorph listed for this composition = 0.509 eV/atom
Formation energy without anion corrections = -0.43 eV per atom
Density of states at the Fermi level = 0.00 states/eV/atom

Lattice parameters (Å, degrees): 5.2239 5.2239 5.2239 90.00 90.00 90.00
Last column: nearest neighbours and their distance in Å.
Fractional positions:
Mg: 0.0000 0.0000 0.0000  6 Br 2.61
Cu: 0.5000 0.5000 0.5000  12 Br 3.69
Br: 0.0000 0.0000 0.5000  2 Mg 2.61
Br: 0.0000 0.5000 0.0000  2 Mg 2.61
Br: 0.5000 0.0000 0.0000  2 Mg 2.61

Crystalline Pm3PrAu3 at its relaxed geometry. Source: the Alexandria database, functional GGA-PBE.

Values from the calculation:
Spin magnetization = 0.0000 μB per atom
DFT formation energy = -0.588 eV per atom
Density of states at the Fermi level = 0.93 states/eV/atom

Lattice parameters (Å, degrees): 7.3801 7.3801 7.3881 90.67 90.67 96.93
Last column: nearest neighbours and their distance in Å.
Fractional positions:
Pm: 0.1785 0.8215 0.0000  6 Au 3.00-3.17
Pm: 0.2502 0.7498 0.5000  6 Au 3.14-3.19
Pm: 0.3589 0.3589 0.1426  3 Au 3.01-3.11
Pm: 0.6411 0.6411 0.8574  3 Au 3.01-3.11
Pm: 0.7498 0.2502 0.5000  6 Au 3.14-3.19
Pm: 0.8215 0.1785 0.0000  6 Au 3.00-3.17
Pr: 0.2581 0.2581 0.6380  4 Au 2.97-3.23
Pr: 0.7419 0.7419 0.3620  4 Au 2.97-3.23
Au: 0.0017 0.5105 0.7699  1 Pr 2.97, 5 Pm 3.00-3.18, 1 Au 3.27
Au: 0.0684 0.0684 0.3074  2 Pr 3.04-3.23, 5 Pm 3.07-3.19, 3 Au 3.17-3.27
Au: 0.4895 0.9983 0.2301  1 Pr 2.97, 5 Pm 3.00-3.18, 1 Au 3.27
Au: 0.5105 0.0017 0.7699  1 Pr 2.97, 5 Pm 3.00-3.18, 1 Au 3.27
Au: 0.9316 0.9316 0.6926  2 Pr 3.04-3.23, 5 Pm 3.07-3.19, 3 Au 3.17-3.27
Au: 0.9983 0.4895 0.2301  1 Pr 2.97, 5 Pm 3.00-3.18, 1 Au 3.27

Crystalline Rb2NdTlBr6 at its relaxed geometry. Source: the Alexandria database, functional GGA-PBE.

Values from the calculation:
Spin magnetization = 0.0000 μB per atom
Formation energy without anion corrections = -1.66 eV per atom
Density of states at the Fermi level = 0.00 states/eV/atom

Lattice parameters (Å, degrees): 8.1273 8.6771 14.1412 90.00 124.07 90.00
Last column: nearest neighbours and their distance in Å.
Fractional positions:
Rb: 0.2165 0.0785 0.2465  6 Br 3.49-3.75
Rb: 0.2165 0.4215 0.7465  6 Br 3.49-3.75
Rb: 0.7835 0.5785 0.2535  6 Br 3.49-3.75
Rb: 0.7835 0.9215 0.7535  6 Br 3.49-3.75
Nd: 0.5000 0.0000 0.0000  6 Br 2.91-2.92
Nd: 0.5000 0.5000 0.5000  6 Br 2.91-2.92
Tl: 0.0000 0.0000 0.5000  6 Br 3.32-3.36
Tl: 0.0000 0.5000 0.0000  6 Br 3.32-3.36
Br: 0.1552 0.1801 0.9446  1 Nd 2.91
Br: 0.1552 0.3199 0.4446  1 Nd 2.91
Br: 0.2617 0.7191 0.9328  1 Nd 2.92
Br: 0.2617 0.7809 0.4328  1 Nd 2.92
Br: 0.3893 0.0452 0.7675  1 Nd 2.91
Br: 0.3893 0.4548 0.2675  1 Nd 2.91
Br: 0.6107 0.5452 0.7325  1 Nd 2.91
Br: 0.6107 0.9548 0.2325  1 Nd 2.91
Br: 0.7383 0.2191 0.5672  1 Nd 2.92
Br: 0.7383 0.2809 0.0672  1 Nd 2.92
Br: 0.8448 0.6801 0.5554  1 Nd 2.91
Br: 0.8448 0.8199 0.0554  1 Nd 2.91

Crystalline Sm3HoHg12 at its relaxed geometry. Source: the Alexandria database, functional GGA-PBE.

Values from the calculation:
Spin magnetization = 0.0000 μB per atom
DFT formation energy = -0.331 eV per atom
Density of states at the Fermi level = 0.76 states/eV/atom

Lattice parameters (Å, degrees): 4.5747 4.5747 19.2444 90.00 90.00 90.00
Last column: nearest neighbours and their distance in Å.
Fractional positions:
Sm: 0.0000 0.0000 0.0000  12 Hg 3.23-3.33
Sm: 0.0000 0.0000 0.2522  12 Hg 3.23-3.34
Sm: 0.0000 0.0000 0.7478  12 Hg 3.23-3.34
Ho: 0.0000 0.0000 0.5000  12 Hg 3.23-3.28
Hg: 0.0000 0.5000 0.1259  8 Hg 3.23-3.33, 4 Sm 3.33-3.34
Hg: 0.0000 0.5000 0.3776  8 Hg 3.23-3.33, 2 Ho 3.28, 2 Sm 3.33
Hg: 0.0000 0.5000 0.6224  8 Hg 3.23-3.33, 2 Ho 3.28, 2 Sm 3.33
Hg: 0.0000 0.5000 0.8741  8 Hg 3.23-3.33, 4 Sm 3.33-3.34
Hg: 0.5000 0.0000 0.1259  8 Hg 3.23-3.33, 4 Sm 3.33-3.34
Hg: 0.5000 0.0000 0.3776  8 Hg 3.23-3.33, 2 Ho 3.28, 2 Sm 3.33
Hg: 0.5000 0.0000 0.6224  8 Hg 3.23-3.33, 2 Ho 3.28, 2 Sm 3.33
Hg: 0.5000 0.0000 0.8741  8 Hg 3.23-3.33, 4 Sm 3.33-3.34
Hg: 0.5000 0.5000 0.0000  4 Sm 3.23, 8 Hg 3.33
Hg: 0.5000 0.5000 0.2517  4 Sm 3.23, 8 Hg 3.33
Hg: 0.5000 0.5000 0.5000  4 Ho 3.23, 8 Hg 3.28
Hg: 0.5000 0.5000 0.7483  4 Sm 3.23, 8 Hg 3.33

Crystalline AgPNF2 at its relaxed geometry. Source: the Alexandria database, functional GGA-PBE.

Values from the calculation:
Spin magnetization = 0.0000 μB per atom
Energy relative to the lowest polymorph listed for this composition = 0.000 eV/atom
Formation energy without anion corrections = -0.41 eV per atom
Density of states at the Fermi level = 0.24 states/eV/atom

Lattice parameters (Å, degrees): 4.3930 4.3930 3.3309 90.00 90.00 90.00
Last column: nearest neighbours and their distance in Å.
Fractional positions:
Ag: 0.0000 0.0000 0.0000  8 F 2.76
P: 0.5000 0.5000 0.5000  2 N 1.67
N: 0.5000 0.5000 0.0000  2 P 1.67
F: 0.0000 0.5000 0.5000  2 P 2.20
F: 0.5000 0.0000 0.5000  2 P 2.20

Crystalline BaTaB2 at its relaxed geometry. Source: the Alexandria database, functional GGA-PBE.

Values from the calculation:
Spin magnetization = 0.0000 μB per atom
Energy relative to the lowest polymorph listed for this composition = 0.000 eV/atom
DFT formation energy = 0.768 eV per atom
Density of states at the Fermi level = 0.80 states/eV/atom

Lattice parameters (Å, degrees): 7.3626 7.3626 7.3626 135.06 135.06 65.44
Last column: nearest neighbours and their distance in Å.
Fractional positions:
Ba: 0.0000 0.0000 0.0000  4 B 3.06
Ba: 0.7500 0.2500 0.5000  4 B 3.06
Ta: 0.2500 0.7500 0.5000  4 B 2.17
Ta: 0.5000 0.5000 0.0000  4 B 2.17
B: 0.2723 0.6250 0.1473  2 Ta 2.17
B: 0.3750 0.5223 0.6473  2 Ta 2.17
B: 0.4777 0.1250 0.8527  2 Ta 2.17
B: 0.8750 0.7277 0.3527  2 Ta 2.17

Crystalline PmEr2S at its relaxed geometry. Source: the Alexandria database, functional GGA-PBE.

Values from the calculation:
Spin magnetization = 0.0006 μB per atom
Formation energy without anion corrections = -0.74 eV per atom
Density of states at the Fermi level = 1.24 states/eV/atom

Lattice parameters (Å, degrees): 10.3278 10.3278 10.3278 20.22 20.22 20.22
Last column: nearest neighbours and their distance in Å.
Fractional positions:
Pm: 0.0000 0.0000 0.0000  2 Er 3.42, 6 Pm 3.63
Er: 0.1127 0.1127 0.1127  3 S 2.66
Er: 0.8873 0.8873 0.8873  3 S 2.66
S: 0.5000 0.5000 0.5000  6 Er 2.66